--- i ---
## TcSbTe2S (PBE-GGA)

Data for crystalline TcSbTe2S at its relaxed geometry.

The space group is P4/mmm (No. 123) and the conventional cell measures 5.038, 5.038 and 5.069 Å, with angles of 90.00, 90.00 and 90.00 degrees. The asymmetric unit holds Tc at (0.000, 0.000, 0.000), Sb at (0.500, 0.500, 0.000), Te at (0.000, 0.500, 0.500) and S at (0.500, 0.500, 0.500).

The value obtained for the total magnetization is 0.0 μB/f.u. As for the volume: 128.7 Å³/cell. The value obtained for the density of states at the Fermi level is 6.71 states/eV/cell.

***

--- ii ---
## TcSbTe2S (PBE-GGA)

Data for crystalline TcSbTe2S at its relaxed geometry.

The space group is P4/mmm (No. 123) and the conventional cell measures 5.093, 5.093 and 5.306 Å, with angles of 90.00, 90.00 and 90.00 degrees. The asymmetric unit holds Tc at (0.000, 0.000, 0.000), Sb at (0.000, 0.000, 0.500), Te at (0.000, 0.500, 0.000) and S at (0.500, 0.500, 0.500).

The value obtained for the total magnetization is 0.0 μB/f.u. As for the volume: 137.7 Å³/cell. The value obtained for the density of states at the Fermi level is 5.89 states/eV/cell.

***

Calculated relative energies: i 602; ii 0, given in meV per atom

***

--- i ---
## Sb2TeS6 (PBE-GGA)

Data for crystalline Sb2TeS6 at its relaxed geometry.

The space group is C2/m (No. 12) and the conventional cell measures 17.079, 3.767 and 7.795 Å, with angles of 90.00, 106.22 and 90.00 degrees. The asymmetric unit holds Sb at (0.167, 0.000, 0.335), Te at (0.000, 0.500, 0.000), S at (0.005, 0.000, 0.248), S at (0.164, 0.500, 0.091) and S at (0.170, 0.500, 0.578).

The value obtained for the total magnetization is 0.0 μB/f.u. As for the volume: 481.5 Å³/cell. The value obtained for the density of states at the Fermi level is 13.07 states/eV/cell.

***

--- ii ---
## Sb2TeS6 (PBE-GGA)

Data for crystalline Sb2TeS6 at its relaxed geometry.

The space group is P4_2/mnm (No. 136) and the conventional cell measures 6.163, 6.163 and 12.160 Å, with angles of 90.00, 90.00 and 90.00 degrees. The asymmetric unit holds Sb at (0.000, 0.000, 0.167), Te at (0.000, 0.000, 0.500), S at (0.194, 0.194, 0.000) and S at (0.194, 0.194, 0.332).

The value obtained for the total magnetization is 0.0 μB/f.u. As for the volume: 461.8 Å³/cell. The value obtained for the density of states at the Fermi level is 10.42 states/eV/cell.

***

Calculated relative energies: i 0; ii 130, given in meV per atom